# 1
# YErSi

A relaxed YErSi crystal (PBE, the Open Quantum Materials Database).

```
YErSi
1.0
6.815 0.000 0.000
0.000 6.815 0.000
0.000 0.000 6.815
Y Er Si
4 4 4
direct
0.000 0.000 0.000
0.000 0.500 0.500
0.500 0.000 0.500
0.500 0.500 0.000
0.000 0.000 0.500
0.000 0.500 0.000
0.500 0.000 0.000
0.500 0.500 0.500
0.250 0.250 0.750
0.250 0.750 0.250
0.750 0.250 0.250
0.750 0.750 0.750
```

Output
total DFT energy (no corrections)	-5.96	eV/atom

=====

# 2
# SmErCF2

A relaxed SmErCF2 crystal (PBE, the Open Quantum Materials Database).

```
SmErCF2
1.0
3.671 0.000 0.000
-1.836 3.179 0.000
0.000 0.000 6.383
Sm Er C F
1 1 1 2
direct
0.000 0.000 0.000
0.333 0.667 0.573
0.667 0.333 0.784
0.000 0.000 0.416
0.333 0.667 0.190
```

Output
total DFT energy (no corrections)	-6.83	eV/atom